Below is TaCoAu2 after structural relaxation, with properties calculated at the PBE-GGA level.

Output
Crystal system ... trigonal
ΔE to the lowest computed polymorph ... 132.2 meV per atom

Structure (extended XYZ):
```
4
Lattice="1.5924 0.9194 7.8849 -1.5924 0.9194 7.8849 0.0000 -1.8388 7.8849" Properties=species:S:1:pos:R:3 pbc="T T T"
Ta 0.0000 0.0000 0.0000
Co 0.0000 0.0000 6.3857
Au 0.0000 0.0000 12.3180
Au 0.0000 0.0000 17.9391
```



Below is TaCoAu2 after structural relaxation, with properties calculated at the PBE-GGA level.

Output
Crystal system ... orthorhombic
ΔE to the lowest computed polymorph ... 68.6 meV per atom

Structure (extended XYZ):
```
4
Lattice="-1.8332 2.1404 4.0678 1.8332 -2.1404 4.0678 1.8332 2.1404 -4.0678" Properties=species:S:1:pos:R:3 pbc="T T T"
Ta 0.0000 0.0000 0.0000
Co 1.8332 0.0000 1.7079
Au 0.0000 0.0000 3.7916
Au 0.0000 2.1404 1.8840
```



Below is Ta2Co3Au2 after structural relaxation, with properties calculated at the PBE-GGA level.

Output
Crystal system ... monoclinic
E_tot ... -7.474 eV per atom

Structure (extended XYZ):
```
7
Lattice="3.6893 -2.1403 0.0000 3.6893 2.1403 0.0000 -2.4659 0.0000 6.7602" Properties=species:S:1:pos:R:3 pbc="T T T"
Ta -0.0060 0.0000 2.3411
Ta 4.9186 0.0000 4.4191
Co 0.0017 0.0000 4.7792
Co 2.4563 0.0000 3.3801
Co 4.9109 0.0000 1.9810
Au 2.4518 0.0000 0.7416
Au 2.4609 0.0000 6.0186
```